## ZrSiHgPt2 (PBE)

Data for crystalline ZrSiHgPt2 at its relaxed geometry.

The structure in CIF format:
```
data_ZrSiHgPt2
_cell_length_a 4.9781
_cell_length_b 4.9781
_cell_length_c 5.4322
_cell_angle_alpha 90.00
_cell_angle_beta 90.00
_cell_angle_gamma 90.00
_space_group_name_H-M_alt 'P 4/m m m'
_space_group_IT_number 123
_space_group_name_Hall '-P 4 2'
loop_
_atom_site_label
_atom_site_fract_x
_atom_site_fract_y
_atom_site_fract_z
Zr1 0.0000 0.0000 0.0000
Si1 0.5000 0.5000 0.5000
Hg1 0.0000 0.0000 0.5000
Pt1 0.0000 0.5000 0.0000
```

Calculated values
As for the formation energy from raw total energies: 983 meV per atom. The calculation puts the density of states at the Fermi level at 5.06 states/eV/f.u.



## Sm2HgPt (PBE)

Data for crystalline Sm2HgPt at its relaxed geometry.

The structure in CIF format:
```
data_Sm2HgPt
_cell_length_a 4.2006
_cell_length_b 4.2006
_cell_length_c 22.5099
_cell_angle_alpha 90.00
_cell_angle_beta 90.00
_cell_angle_gamma 120.00
_space_group_name_H-M_alt 'R 3 m'
_space_group_IT_number 160
_space_group_name_Hall 'R 3 -2"'
loop_
_atom_site_label
_atom_site_fract_x
_atom_site_fract_y
_atom_site_fract_z
Sm1 0.0000 0.0000 0.0000
Sm2 0.0000 0.0000 0.1952
Hg1 0.0000 0.0000 0.7640
Pt1 0.0000 0.0000 0.5986
```

Calculated values
Its energy of formation is -0.7480 eV/atom. The calculation puts the density of states at the Fermi level at 3.44 states/eV/f.u.



## Sm3HgPt (PBE)

Data for crystalline Sm3HgPt at its relaxed geometry.

The structure in CIF format:
```
data_Sm3HgPt
_cell_length_a 10.1058
_cell_length_b 14.8504
_cell_length_c 4.0536
_cell_angle_alpha 90.00
_cell_angle_beta 90.00
_cell_angle_gamma 90.00
_space_group_name_H-M_alt 'C m m m'
_space_group_IT_number 65
_space_group_name_Hall '-C 2 2'
loop_
_atom_site_label
_atom_site_fract_x
_atom_site_fract_y
_atom_site_fract_z
Sm1 0.0000 0.1671 0.0000
Sm2 0.1947 0.3813 0.5000
Hg1 0.0000 0.0000 0.5000
Hg2 0.0000 0.5000 0.0000
Pt1 0.2500 0.2500 0.0000
```

Calculated values
Its energy of formation is -0.5734 eV/atom. The calculation puts the density of states at the Fermi level at 4.88 states/eV/f.u.



## Sm2HgPt (PBE)

Data for crystalline Sm2HgPt at its relaxed geometry.

The structure in CIF format:
```
data_Sm2HgPt
_cell_length_a 7.3481
_cell_length_b 7.3481
_cell_length_c 7.3481
_cell_angle_alpha 90.00
_cell_angle_beta 90.00
_cell_angle_gamma 90.00
_space_group_name_H-M_alt 'F m -3 m'
_space_group_IT_number 225
_space_group_name_Hall '-F 4 2 3'
loop_
_atom_site_label
_atom_site_fract_x
_atom_site_fract_y
_atom_site_fract_z
Sm1 0.2500 0.2500 0.2500
Hg1 0.0000 0.0000 0.0000
Pt1 0.0000 0.0000 0.5000
```

Calculated values
Its energy of formation is -0.7524 eV/atom. The calculation puts the density of states at the Fermi level at 2.94 states/eV/f.u.



## Sm5Hg4Pt (PBE)

Data for crystalline Sm5Hg4Pt at its relaxed geometry.

The structure in CIF format:
```
data_Sm5Hg4Pt
_cell_length_a 3.7326
_cell_length_b 3.7326
_cell_length_c 18.8891
_cell_angle_alpha 90.00
_cell_angle_beta 90.00
_cell_angle_gamma 90.00
_space_group_name_H-M_alt 'P 4/m m m'
_space_group_IT_number 123
_space_group_name_Hall '-P 4 2'
loop_
_atom_site_label
_atom_site_fract_x
_atom_site_fract_y
_atom_site_fract_z
Sm1 0.0000 0.0000 0.0000
Sm2 0.0000 0.0000 0.2060
Sm3 0.0000 0.0000 0.4123
Hg1 0.5000 0.5000 0.1030
Hg2 0.5000 0.5000 0.3050
Pt1 0.5000 0.5000 0.5000
```

Calculated values
Its energy of formation is -0.6034 eV/atom. The calculation puts the density of states at the Fermi level at 9.33 states/eV/f.u.



## SmHg2Pt (PBE)

Data for crystalline SmHg2Pt at its relaxed geometry.

The structure in CIF format:
```
data_SmHg2Pt
_cell_length_a 7.0513
_cell_length_b 7.0513
_cell_length_c 7.0513
_cell_angle_alpha 90.00
_cell_angle_beta 90.00
_cell_angle_gamma 90.00
_space_group_name_H-M_alt 'F m -3 m'
_space_group_IT_number 225
_space_group_name_Hall '-F 4 2 3'
loop_
_atom_site_label
_atom_site_fract_x
_atom_site_fract_y
_atom_site_fract_z
Sm1 0.0000 0.0000 0.0000
Hg1 0.2500 0.2500 0.2500
Pt1 0.0000 0.0000 0.5000
```

Calculated values
Its energy of formation is -0.4447 eV/atom. The calculation puts the density of states at the Fermi level at 3.42 states/eV/f.u.



## Sm3Hg2Pt (PBE)

Data for crystalline Sm3Hg2Pt at its relaxed geometry.

The structure in CIF format:
```
data_Sm3Hg2Pt
_cell_length_a 14.9552
_cell_length_b 6.0494
_cell_length_c 7.9963
_cell_angle_alpha 90.00
_cell_angle_beta 105.47
_cell_angle_gamma 90.00
_space_group_name_H-M_alt 'C 1 2/c 1'
_space_group_IT_number 15
_space_group_name_Hall '-C 2yc'
loop_
_atom_site_label
_atom_site_fract_x
_atom_site_fract_y
_atom_site_fract_z
Sm1 0.0000 0.0008 0.2500
Sm2 0.1383 0.4995 0.0685
Hg1 0.1856 0.0006 0.5939
Pt1 0.0000 0.4993 0.7500
```

Calculated values
Its energy of formation is -0.5918 eV/atom. The calculation puts the density of states at the Fermi level at 5.16 states/eV/f.u.



## Sm2Hg3Pt2 (PBE)

Data for crystalline Sm2Hg3Pt2 at its relaxed geometry.

The structure in CIF format:
```
data_Sm2Hg3Pt2
_cell_length_a 10.5700
_cell_length_b 4.0645
_cell_length_c 7.7072
_cell_angle_alpha 90.00
_cell_angle_beta 95.07
_cell_angle_gamma 90.00
_space_group_name_H-M_alt 'C 1 2/m 1'
_space_group_IT_number 12
_space_group_name_Hall '-C 2y'
loop_
_atom_site_label
_atom_site_fract_x
_atom_site_fract_y
_atom_site_fract_z
Sm1 0.1202 0.0000 0.3488
Hg1 0.0000 0.5000 0.0000
Hg2 0.1982 0.0000 0.8622
Pt1 0.0982 0.5000 0.6286
```

Calculated values
Its energy of formation is -0.6671 eV/atom. The calculation puts the density of states at the Fermi level at 2.80 states/eV/f.u.



## Sm6Hg5Pt (PBE)

Data for crystalline Sm6Hg5Pt at its relaxed geometry.

The structure in CIF format:
```
data_Sm6Hg5Pt
_cell_length_a 16.7060
_cell_length_b 7.5627
_cell_length_c 5.2854
_cell_angle_alpha 90.00
_cell_angle_beta 108.28
_cell_angle_gamma 90.00
_space_group_name_H-M_alt 'C 1 2/m 1'
_space_group_IT_number 12
_space_group_name_Hall '-C 2y'
loop_
_atom_site_label
_atom_site_fract_x
_atom_site_fract_y
_atom_site_fract_z
Sm1 0.0000 0.2301 0.0000
Sm2 0.1579 0.2369 0.6581
Hg1 0.0000 0.5000 0.5000
Hg2 0.1666 0.5000 0.1670
Hg3 0.1830 0.0000 0.1833
Pt1 0.0000 0.0000 0.5000
```

Calculated values
Its energy of formation is -0.5844 eV/atom. The calculation puts the density of states at the Fermi level at 10.27 states/eV/f.u.



## Sm3HgPt2 (PBE)

Data for crystalline Sm3HgPt2 at its relaxed geometry.

The structure in CIF format:
```
data_Sm3HgPt2
_cell_length_a 7.5330
_cell_length_b 7.5330
_cell_length_c 19.8243
_cell_angle_alpha 90.00
_cell_angle_beta 90.00
_cell_angle_gamma 120.00
_space_group_name_H-M_alt 'R -3 c'
_space_group_IT_number 167
_space_group_name_Hall '-R 3 2"c'
loop_
_atom_site_label
_atom_site_fract_x
_atom_site_fract_y
_atom_site_fract_z
Sm1 0.0000 0.2852 0.2500
Hg1 0.0000 0.0000 0.0000
Pt1 0.0000 0.0000 0.1473
```

Calculated values
Its energy of formation is -0.8390 eV/atom. The calculation puts the density of states at the Fermi level at 5.76 states/eV/f.u.



## Sm2HgPt (PBE)

Data for crystalline Sm2HgPt at its relaxed geometry.

The structure in CIF format:
```
data_Sm2HgPt
_cell_length_a 4.2201
_cell_length_b 4.2201
_cell_length_c 7.4541
_cell_angle_alpha 90.00
_cell_angle_beta 90.00
_cell_angle_gamma 120.00
_space_group_name_H-M_alt 'P -3 m 1'
_space_group_IT_number 164
_space_group_name_Hall '-P 3 2"'
loop_
_atom_site_label
_atom_site_fract_x
_atom_site_fract_y
_atom_site_fract_z
Sm1 0.3333 0.6667 0.2054
Hg1 0.0000 0.0000 0.5000
Pt1 0.0000 0.0000 0.0000
```

Calculated values
Its energy of formation is -0.7744 eV/atom. The calculation puts the density of states at the Fermi level at 2.37 states/eV/f.u.



## SmHgPt (PBE)

Data for crystalline SmHgPt at its relaxed geometry.

The structure in CIF format:
```
data_SmHgPt
_cell_length_a 10.4344
_cell_length_b 4.0469
_cell_length_c 7.6943
_cell_angle_alpha 90.00
_cell_angle_beta 120.90
_cell_angle_gamma 90.00
_space_group_name_H-M_alt 'C 1 2/m 1'
_space_group_IT_number 12
_space_group_name_Hall '-C 2y'
loop_
_atom_site_label
_atom_site_fract_x
_atom_site_fract_y
_atom_site_fract_z
Sm1 0.0620 0.0000 0.3208
Hg1 0.1651 0.5000 0.0694
Pt1 0.1451 0.5000 0.6557
```

Calculated values
Its energy of formation is -0.8176 eV/atom. The calculation puts the density of states at the Fermi level at 1.28 states/eV/f.u.



## Sm4Hg3Pt (PBE)

Data for crystalline Sm4Hg3Pt at its relaxed geometry.

The structure in CIF format:
```
data_Sm4Hg3Pt
_cell_length_a 3.7185
_cell_length_b 3.7185
_cell_length_c 15.0956
_cell_angle_alpha 90.00
_cell_angle_beta 90.00
_cell_angle_gamma 90.00
_space_group_name_H-M_alt 'P 4/m m m'
_space_group_IT_number 123
_space_group_name_Hall '-P 4 2'
loop_
_atom_site_label
_atom_site_fract_x
_atom_site_fract_y
_atom_site_fract_z
Sm1 0.0000 0.0000 0.1103
Sm2 0.0000 0.0000 0.3703
Hg1 0.5000 0.5000 0.2453
Hg2 0.5000 0.5000 0.5000
Pt1 0.5000 0.5000 0.0000
```

Calculated values
Its energy of formation is -0.6382 eV/atom. The calculation puts the density of states at the Fermi level at 6.53 states/eV/f.u.



## Sm2HgPt (PBE)

Data for crystalline Sm2HgPt at its relaxed geometry.

The structure in CIF format:
```
data_Sm2HgPt
_cell_length_a 4.1366
_cell_length_b 4.1366
_cell_length_c 23.1117
_cell_angle_alpha 90.00
_cell_angle_beta 90.00
_cell_angle_gamma 120.00
_space_group_name_H-M_alt 'R -3 m'
_space_group_IT_number 166
_space_group_name_Hall '-R 3 2"'
loop_
_atom_site_label
_atom_site_fract_x
_atom_site_fract_y
_atom_site_fract_z
Sm1 0.0000 0.0000 0.2362
Hg1 0.0000 0.0000 0.0000
Pt1 0.0000 0.0000 0.5000
```

Calculated values
Its energy of formation is -0.7545 eV/atom. The calculation puts the density of states at the Fermi level at 3.23 states/eV/f.u.



## SmHg3Pt8 (PBE)

Data for crystalline SmHg3Pt8 at its relaxed geometry.

The structure in CIF format:
```
data_SmHg3Pt8
_cell_length_a 5.4104
_cell_length_b 5.4104
_cell_length_c 26.4991
_cell_angle_alpha 90.00
_cell_angle_beta 90.00
_cell_angle_gamma 120.00
_space_group_name_H-M_alt 'R 3 m'
_space_group_IT_number 160
_space_group_name_Hall 'R 3 -2"'
loop_
_atom_site_label
_atom_site_fract_x
_atom_site_fract_y
_atom_site_fract_z
Sm1 0.0000 0.0000 0.0000
Hg1 0.0000 0.0000 0.3803
Hg2 0.0000 0.0000 0.5026
Hg3 0.0000 0.0000 0.8741
Pt1 0.0000 0.0000 0.1884
Pt2 0.0000 0.0000 0.6884
Pt3 0.0005 0.5003 0.9384
Pt4 0.0010 0.5005 0.4383
```

Calculated values
Its energy of formation is -0.3086 eV/atom. The calculation puts the density of states at the Fermi level at 12.04 states/eV/f.u.



## SmHg2Pt (PBE)

Data for crystalline SmHg2Pt at its relaxed geometry.

The structure in CIF format:
```
data_SmHg2Pt
_cell_length_a 4.4894
_cell_length_b 4.4894
_cell_length_c 8.7583
_cell_angle_alpha 90.00
_cell_angle_beta 90.00
_cell_angle_gamma 90.00
_space_group_name_H-M_alt 'I 4/m m m'
_space_group_IT_number 139
_space_group_name_Hall '-I 4 2'
loop_
_atom_site_label
_atom_site_fract_x
_atom_site_fract_y
_atom_site_fract_z
Sm1 0.0000 0.0000 0.0000
Hg1 0.0000 0.5000 0.2500
Pt1 0.0000 0.0000 0.5000
```

Calculated values
Its energy of formation is -0.4822 eV/atom. The calculation puts the density of states at the Fermi level at 1.60 states/eV/f.u.



## Sm6Hg2Pt (PBE)

Data for crystalline Sm6Hg2Pt at its relaxed geometry.

The structure in CIF format:
```
data_Sm6Hg2Pt
_cell_length_a 6.2316
_cell_length_b 9.1959
_cell_length_c 10.9572
_cell_angle_alpha 90.00
_cell_angle_beta 121.03
_cell_angle_gamma 90.00
_space_group_name_H-M_alt 'P 1 21/c 1'
_space_group_IT_number 14
_space_group_name_Hall '-P 2ybc'
loop_
_atom_site_label
_atom_site_fract_x
_atom_site_fract_y
_atom_site_fract_z
Sm1 0.0539 0.1864 0.4557
Sm2 0.3459 0.6694 0.4463
Sm3 0.3793 0.0291 0.2837
Hg1 0.1460 0.1154 0.7503
Pt1 0.0000 0.0000 0.0000
```

Calculated values
Its energy of formation is -0.4001 eV/atom. The calculation puts the density of states at the Fermi level at 11.14 states/eV/f.u.



## Sm4HgPt2 (PBE)

Data for crystalline Sm4HgPt2 at its relaxed geometry.

The structure in CIF format:
```
data_Sm4HgPt2
_cell_length_a 4.7483
_cell_length_b 4.7483
_cell_length_c 30.4057
_cell_angle_alpha 90.00
_cell_angle_beta 90.00
_cell_angle_gamma 120.00
_space_group_name_H-M_alt 'R -3 m'
_space_group_IT_number 166
_space_group_name_Hall '-R 3 2"'
loop_
_atom_site_label
_atom_site_fract_x
_atom_site_fract_y
_atom_site_fract_z
Sm1 0.0000 0.0000 0.1125
Sm2 0.0000 0.0000 0.2988
Hg1 0.0000 0.0000 0.5000
Pt1 0.0000 0.0000 0.4005
```

Calculated values
Its energy of formation is -0.7315 eV/atom. The calculation puts the density of states at the Fermi level at 6.38 states/eV/f.u.



## SmHg2Pt (PBE)

Data for crystalline SmHg2Pt at its relaxed geometry.

The structure in CIF format:
```
data_SmHg2Pt
_cell_length_a 3.2690
_cell_length_b 3.2690
_cell_length_c 31.5658
_cell_angle_alpha 90.00
_cell_angle_beta 90.00
_cell_angle_gamma 120.00
_space_group_name_H-M_alt 'R -3 m'
_space_group_IT_number 166
_space_group_name_Hall '-R 3 2"'
loop_
_atom_site_label
_atom_site_fract_x
_atom_site_fract_y
_atom_site_fract_z
Sm1 0.0000 0.0000 0.0000
Hg1 0.0000 0.0000 0.0979
Pt1 0.0000 0.0000 0.5000
```

Calculated values
Its energy of formation is 0.2117 eV/atom. The calculation puts the density of states at the Fermi level at 3.56 states/eV/f.u.



## SmHgPt (PBE)

Data for crystalline SmHgPt at its relaxed geometry.

The structure in CIF format:
```
data_SmHgPt
_cell_length_a 13.4150
_cell_length_b 3.9284
_cell_length_c 7.8682
_cell_angle_alpha 90.00
_cell_angle_beta 90.00
_cell_angle_gamma 90.00
_space_group_name_H-M_alt 'P m m a'
_space_group_IT_number 51
_space_group_name_Hall '-P 2a 2a'
loop_
_atom_site_label
_atom_site_fract_x
_atom_site_fract_y
_atom_site_fract_z
Sm1 0.0510 0.0000 0.2303
Sm2 0.2500 0.0000 0.8241
Hg1 0.1094 0.5000 0.5642
Hg2 0.2500 0.5000 0.1786
Pt1 0.0944 0.5000 0.9306
Pt2 0.2500 0.0000 0.4396
```

Calculated values
Its energy of formation is -0.8115 eV/atom. The calculation puts the density of states at the Fermi level at 1.98 states/eV/f.u.



| no. | calculated total energy (eV/atom) |
| --- | --- |
| 1 | -4.2879 |
| 2 | -4.6932 |
| 3 | -4.6734 |
| 4 | -4.6976 |
| 5 | -3.6878 |
| 6 | -3.2856 |
| 7 | -4.0588 |
| 8 | -3.8707 |
| 9 | -3.5731 |
| 10 | -5.2625 |
| 11 | -4.7196 |
| 12 | -4.5048 |
| 13 | -3.8660 |
| 14 | -4.6997 |
| 15 | -4.8045 |
| 16 | -3.3230 |
| 17 | -4.2845 |
| 18 | -5.1972 |
| 19 | -2.6292 |
| 20 | -4.4988 |